The following is a DFT calculation (PBE-GGA) of a relaxed Ac2ErPu crystal.

Lattice parameters (Å, degrees): 13.0964 13.0964 13.0964 16.22 16.22 16.22
Element x y z (fractional)
Ac: 0.0890 0.0890 0.0890
Ac: 0.9110 0.9110 0.9110
Er: 0.5000 0.5000 0.5000
Pu: 0.0000 0.0000 0.0000

symmetry	No. 166
E_tot	-6.426	eV/atom
energy above the most stable polymorph in this dataset	186	meV/atom
size of the total moment	6.83	μB per formula unit
formation enthalpy at 0 K	352	meV per atom

=====

The following is a DFT calculation (PBE-GGA) of a relaxed Ac2ErPu crystal.

Lattice parameters (Å, degrees): 5.3641 5.3641 5.0515 90.00 90.00 90.00
Element x y z (fractional)
Ac: 0.0000 0.5000 0.0000
Ac: 0.5000 0.0000 0.0000
Er: 0.0000 0.0000 0.5000
Pu: 0.5000 0.5000 0.5000

symmetry	No. 123
E_tot	-6.576	eV/atom
energy above the most stable polymorph in this dataset	36	meV/atom
size of the total moment	6.53	μB per formula unit
formation enthalpy at 0 K	202	meV per atom

=====

The following is a DFT calculation (PBE-GGA) of a relaxed Ac2ErPu crystal.

Lattice parameters (Å, degrees): 3.7769 3.7769 10.2952 90.00 90.00 90.00
Element x y z (fractional)
Ac: 0.0000 0.0000 0.2504
Ac: 0.0000 0.0000 0.7496
Er: 0.5000 0.5000 0.0000
Pu: 0.5000 0.5000 0.5000

symmetry	No. 123
E_tot	-6.612	eV/atom
energy above the most stable polymorph in this dataset	0	meV/atom
size of the total moment	6.10	μB per formula unit
formation enthalpy at 0 K	166	meV per atom

=====

The following is a DFT calculation (PBE-GGA) of a relaxed AcErPu4 crystal.

Lattice parameters (Å, degrees): 6.3067 6.3067 6.3067 60.00 60.00 60.00
Element x y z (fractional)
Ac: 0.0000 0.0000 0.0000
Er: 0.2500 0.2500 0.2500
Pu: 0.1259 0.6247 0.6247
Pu: 0.6247 0.1259 0.6247
Pu: 0.6247 0.6247 0.1259
Pu: 0.6247 0.6247 0.6247

symmetry	No. 216
E_tot	-10.751	eV/atom
size of the total moment	23.81	μB per formula unit
formation enthalpy at 0 K	249	meV per atom

=====

The following is a DFT calculation (PBE-GGA) of a relaxed Ac2ErPuS6 crystal.

Lattice parameters (Å, degrees): 7.4985 7.4985 7.4985 58.03 58.03 58.03
Element x y z (fractional)
Ac: 0.0000 0.0000 0.0000
Ac: 0.4997 0.4997 0.4997
Er: 0.7132 0.7132 0.7132
Pu: 0.2135 0.2135 0.2135
S: 0.0699 0.4328 0.8483
S: 0.3529 0.9266 0.5763
S: 0.4328 0.8483 0.0699
S: 0.5763 0.3529 0.9266
S: 0.8483 0.0699 0.4328
S: 0.9266 0.5763 0.3529

symmetry	No. 146
E_tot	-7.154	eV/atom
E_form (uncorrected)	-1.967	eV per atom
size of the total moment	5.00	μB per formula unit

=====

The following is a DFT calculation (PBE-GGA) of a relaxed AcEr2PuSb4 crystal.

Lattice parameters (Å, degrees): 7.7761 4.4986 7.7828 90.00 109.48 90.00
Element x y z (fractional)
Ac: 0.0000 0.0000 0.0000
Er: 0.5000 0.0000 0.5000
Er: 0.5000 0.5000 0.0000
Pu: 0.0000 0.5000 0.5000
Sb: 0.2619 0.0000 0.7443
Sb: 0.2695 0.5000 0.2659
Sb: 0.7305 0.5000 0.7341
Sb: 0.7381 0.0000 0.2557

symmetry	No. 10
E_tot	-6.470	eV/atom
E_form (uncorrected)	-0.963	eV per atom
size of the total moment	5.06	μB per formula unit

=====

> Which of these has the highest E_tot?

number 1

=====

> Among the records above, which one has the highest E_tot?

number 1